Record 1
# CoAg3Ge

An optimized crystal structure of CoAg3Ge (PBE-GGA, Alexandria via LeMat-Bulk).

Lattice parameters (Å, degrees): 4.7916 4.7916 4.7916 90.00 90.00 90.00
Closest atoms and distances in Å follow each position.
Space group Pm-3m (No. 221)
Inequivalent atoms, fractional coordinates:
Co  0.0000  0.0000  0.0000 (multiplicity 1)  6 Ag 2.40
Ag  0.0000  0.0000  0.5000 (multiplicity 3)  2 Co 2.40
Ge  0.5000  0.5000  0.5000 (multiplicity 1)  12 Ag 3.39

Summary:
The volume comes out at 110.0 Å³/cell. As for the energy above the lowest structure with this stoichiometry: 0 meV/atom. For the energy relative to the elements, the calculation gives 0.9670 eV/atom.

Record 2
# CoAgGe

An optimized crystal structure of CoAgGe (PBE-GGA, Alexandria via LeMat-Bulk).

Lattice parameters (Å, degrees): 3.8350 3.8350 6.1969 90.00 90.00 90.00
Closest atoms and distances in Å follow each position.
Space group P4/nmm (No. 129, origin choice 2)
Inequivalent atoms, fractional coordinates:
Co  0.2500  0.7500  0.0000 (multiplicity 2)  4 Ge 2.35
Ag  0.2500  0.2500  0.3535 (multiplicity 2)  5 Ge 2.65-2.84, 4 Co 2.91
Ge  0.2500  0.2500  0.7805 (multiplicity 2)  4 Co 2.35

Summary:
The volume comes out at 91.1 Å³/cell. For the energy relative to the elements, the calculation gives -0.0301 eV/atom.

Record 3
# Co2Ag2Ge

An optimized crystal structure of Co2Ag2Ge (PBE-GGA, Alexandria via LeMat-Bulk).

Lattice parameters (Å, degrees): 5.8673 5.8673 4.3503 90.00 90.00 90.00
Closest atoms and distances in Å follow each position.
Space group P4/mbm (No. 127)
Inequivalent atoms, fractional coordinates:
Co  0.1347  0.3653  0.0000 (multiplicity 4)  1 Co 2.23, 2 Ge 2.28
Ag  0.1714  0.6714  0.5000 (multiplicity 4)  6 Co 2.71-2.83, 1 Ag 2.84
Ge  0.0000  0.0000  0.0000 (multiplicity 2)  4 Co 2.28

Summary:
The volume comes out at 149.8 Å³/cell. For the energy relative to the elements, the calculation gives 0.1821 eV/atom.

Record 4
# CoAg3Ge

An optimized crystal structure of CoAg3Ge (PBE-GGA, Alexandria via LeMat-Bulk).

Lattice parameters (Å, degrees): 4.8137 4.8137 4.8137 90.00 90.00 90.00
Closest atoms and distances in Å follow each position.
Space group Pm-3m (No. 221)
Inequivalent atoms, fractional coordinates:
Co  0.0000  0.0000  0.0000 (multiplicity 1)  12 Ag 3.40
Ag  0.0000  0.5000  0.5000 (multiplicity 3)  2 Ge 2.41
Ge  0.5000  0.5000  0.5000 (multiplicity 1)  6 Ag 2.41

Summary:
The volume comes out at 111.5 Å³/cell. As for the energy above the lowest structure with this stoichiometry: 6 meV/atom. For the energy relative to the elements, the calculation gives 0.9728 eV/atom.

Record 5
# CoAgGe2H

An optimized crystal structure of CoAgGe2H (PBE-GGA, Alexandria via LeMat-Bulk).

Lattice parameters (Å, degrees): 4.8843 4.8843 4.9729 90.00 90.00 90.00
Closest atoms and distances in Å follow each position.
Space group P4/mmm (No. 123)
Inequivalent atoms, fractional coordinates:
Co  0.0000  0.0000  0.0000 (multiplicity 1)  2 Ag 2.49
Ag  0.0000  0.0000  0.5000 (multiplicity 1)  4 Ge 2.44, 2 Co 2.49
Ge  0.0000  0.5000  0.5000 (multiplicity 2)  2 Ag 2.44
H  0.5000  0.5000  0.0000 (multiplicity 1)  4 Co 3.45, 8 Ge 3.49

Summary:
The volume comes out at 118.6 Å³/cell. The calculation puts the calculated total energy at -3.020 eV/atom.

Record 6
# La2CoAgGe

An optimized crystal structure of La2CoAgGe (PBE-GGA, Alexandria via LeMat-Bulk).

Lattice parameters (Å, degrees): 5.3724 5.3724 4.4570 90.00 90.00 90.00
Closest atoms and distances in Å follow each position.
Space group P4/mmm (No. 123)
Inequivalent atoms, fractional coordinates:
La  0.0000  0.5000  0.0000 (multiplicity 2)  2 Co 2.69
Co  0.0000  0.0000  0.0000 (multiplicity 1)  2 Ge 2.23
Ag  0.5000  0.5000  0.5000 (multiplicity 1)  8 La 3.49, 4 Ge 3.80
Ge  0.0000  0.0000  0.5000 (multiplicity 1)  2 Co 2.23

Summary:
The volume comes out at 128.6 Å³/cell. For the energy relative to the elements, the calculation gives -0.3509 eV/atom.

Record 7
# CoAgGeN2

An optimized crystal structure of CoAgGeN2 (PBE-GGA, Alexandria via LeMat-Bulk).

Lattice parameters (Å, degrees): 3.9596 3.9596 5.0698 90.00 90.00 90.00
Closest atoms and distances in Å follow each position.
Space group P4/mmm (No. 123)
Inequivalent atoms, fractional coordinates:
Co  0.0000  0.0000  0.0000 (multiplicity 1)  2 Ag 2.53, 4 Ge 2.80
Ag  0.0000  0.0000  0.5000 (multiplicity 1)  4 N 1.98
Ge  0.5000  0.5000  0.0000 (multiplicity 1)  4 Co 2.80
N  0.0000  0.5000  0.5000 (multiplicity 2)  2 Ag 1.98

Summary:
The volume comes out at 79.5 Å³/cell. The value obtained for the uncorrected formation energy is 2092 meV/atom.

Record 8
# NaCoAgGe2

An optimized crystal structure of NaCoAgGe2 (PBE-GGA, Alexandria via LeMat-Bulk).

Lattice parameters (Å, degrees): 4.9589 4.9589 4.9637 90.00 90.00 90.00
Closest atoms and distances in Å follow each position.
Space group P4/mmm (No. 123)
Inequivalent atoms, fractional coordinates:
Na  0.0000  0.0000  0.0000 (multiplicity 1)  4 Co 3.51, 8 Ge 3.51
Co  0.5000  0.5000  0.0000 (multiplicity 1)  2 Ag 2.48
Ag  0.5000  0.5000  0.5000 (multiplicity 1)  4 Ge 2.48, 2 Co 2.48
Ge  0.0000  0.5000  0.5000 (multiplicity 2)  2 Ag 2.48

Summary:
The volume comes out at 122.1 Å³/cell. For the energy relative to the elements, the calculation gives 0.8292 eV/atom.

Repeat the sixth record exactly.
# La2CoAgGe

An optimized crystal structure of La2CoAgGe (PBE-GGA, Alexandria via LeMat-Bulk).

Lattice parameters (Å, degrees): 5.3724 5.3724 4.4570 90.00 90.00 90.00
Closest atoms and distances in Å follow each position.
Space group P4/mmm (No. 123)
Inequivalent atoms, fractional coordinates:
La  0.0000  0.5000  0.0000 (multiplicity 2)  2 Co 2.69
Co  0.0000  0.0000  0.0000 (multiplicity 1)  2 Ge 2.23
Ag  0.5000  0.5000  0.5000 (multiplicity 1)  8 La 3.49, 4 Ge 3.80
Ge  0.0000  0.0000  0.5000 (multiplicity 1)  2 Co 2.23

Summary:
The volume comes out at 128.6 Å³/cell. For the energy relative to the elements, the calculation gives -0.3509 eV/atom.

- Which of these has the highest volume?
  Co2Ag2Ge

- What is the volume in the first record?
  110.0 Å³/cell